No. 1
# Ac2GaCu

Ac2GaCu after structural relaxation (PBE, Alexandria via LeMat-Bulk).

Lattice parameters (Å, degrees): 4.606 7.996 7.871 104.73 107.01 90.00
Element x y z (fractional)
Cu  0.000  0.750  0.000
Cu  0.000  0.250  0.000
Ac  0.847  0.923  0.693
Ga  0.500  0.750  0.000
Ac  0.153  0.077  0.307
Ga  0.500  0.250  0.000
Ac  0.847  0.423  0.693
Ac  0.153  0.577  0.307

## Properties
**Energy**: -3.86 eV per atom
**Spin magnetization**: 0.00 μB/cell
**Formation energy**: -0.02 eV/atom

No. 2
# Ac3Ga4Cu2

Ac3Ga4Cu2 after structural relaxation (PBE, Alexandria via LeMat-Bulk).

Lattice parameters (Å, degrees): 4.553 6.165 8.876 104.49 90.00 111.67
Element x y z (fractional)
Ac  0.376  0.751  0.316
Ga  0.277  0.555  0.931
Ga  0.888  0.777  0.590
Cu  0.333  0.666  0.673
Ac  0.624  0.249  0.684
Ga  0.723  0.445  0.069
Cu  0.667  0.334  0.327
Ga  0.112  0.223  0.410
Ac  0.000  0.000  0.000

## Properties
**Energy**: -4.06 eV per atom
**Spin magnetization**: 0.00 μB/cell
**Formation energy**: -0.43 eV/atom

No. 3
# Ac2GaCu

Ac2GaCu after structural relaxation (PBE, Alexandria via LeMat-Bulk).

Lattice parameters (Å, degrees): 5.477 5.477 5.477 60.00 60.00 60.00
Element x y z (fractional)
Ac  0.250  0.250  0.250
Ga  0.000  0.000  0.000
Cu  0.500  0.500  0.500
Ac  0.750  0.750  0.750

## Properties
**Energy**: -4.11 eV per atom
**Spin magnetization**: 0.00 μB/cell
**Formation energy**: -0.27 eV/atom